Entry 1:
MgPt (PBE, relaxed); VASP energy = -4.38 eV per atom; magnetic moment = 0.00 μB/f.u.; crystal system = tetragonal; formation enthalpy at 0 K = -0.560 eV/atom
1.0
3.462 0.000 0.000
0.000 3.462 0.000
0.000 0.000 5.639
Mg Pt
2 2
Cartesian
0.000 0.000 5.479
1.731 1.731 1.570
0.000 0.000 2.669
1.731 1.731 4.380

Entry 2:
MgPt (PBE, relaxed); VASP energy = -4.13 eV per atom; magnetic moment = 0.00 μB/f.u.; crystal system = cubic; formation enthalpy at 0 K = -0.317 eV/atom
1.0
3.756 0.000 0.000
1.878 3.253 0.000
1.878 1.084 3.067
Mg Pt
1 1
Cartesian
0.000 0.000 0.000
3.756 2.169 1.533